Tm3B4PbO12: optimized geometry, PBE.

```
data_Tm3B4PbO12
_chemical_formula_sum 'Tm3 B4 Pb1 O12'
_cell_length_a 6.510
_cell_length_b 6.510
_cell_length_c 6.510
_cell_angle_alpha 102.78
_cell_angle_beta 102.78
_cell_angle_gamma 102.78
_symmetry_space_group_name_H-M 'P 1'
_symmetry_Int_Tables_number 1
loop_
_symmetry_equiv_pos_as_xyz
'x,y,z'
loop_
_atom_site_label
_atom_site_type_symbol
_atom_site_fract_x
_atom_site_fract_y
_atom_site_fract_z
O1 O 0.364 0.636 0.500
O2 O 0.816 0.031 0.627
O3 O 0.627 0.816 0.031
O4 O 0.096 0.904 0.500
O5 O 0.031 0.627 0.816
O6 O 0.969 0.184 0.373
O7 O 0.636 0.500 0.364
O8 O 0.904 0.500 0.096
O9 O 0.500 0.096 0.904
O10 O 0.184 0.373 0.969
O11 O 0.500 0.364 0.636
O12 O 0.373 0.969 0.184
Tm1 Tm 0.459 0.000 0.541
Tm2 Tm 0.000 0.541 0.459
Tm3 Tm 0.541 0.459 0.000
Pb1 Pb 0.000 0.000 0.000
B1 B 0.961 0.039 0.500
B2 B 0.039 0.500 0.961
B3 B 0.500 0.500 0.500
B4 B 0.500 0.961 0.039
```

Calculated values
- Calculated total energy: -7.926 eV/atom
- Formation energy (no corrections): -2.759 eV per atom
- Space group: R32 (155)
- Size of the total moment: 0.00 μB per cell